[1]
First-principles (PBE) data for a relaxed DySc2Ag3 crystal, as listed in Alexandria.

Summary:
- E (hartree per atom) = -0.169
- energy relative to the elements (eV per atom) = -0.285

Cell lengths 3.4756, 3.4756, 10.6475 Å; angles 90.00, 90.00, 90.00 degrees
Space group P4/mmm (No. 123)
Inequivalent atoms, fractional coordinates:
Dy  0.0000  0.0000  0.0000 [1 per cell]
Sc  0.0000  0.0000  0.3397 [2 per cell]
Ag  0.5000  0.5000  0.1851 [2 per cell]
Ag  0.5000  0.5000  0.5000 [1 per cell]

[2]
First-principles (PBE) data for a relaxed RbInHg2Te4 crystal, as listed in Alexandria.

Summary:
- E (hartree per atom) = -0.093

Cell lengths 7.4334, 9.0966, 9.6499 Å; angles 90.00, 90.00, 90.00 degrees
Space group I222 (No. 23)
Inequivalent atoms, fractional coordinates:
Rb  0.0000  0.0000  0.0000 [2 per cell]
In  0.0000  0.0000  0.5000 [2 per cell]
Hg  0.0000  0.5000  0.1753 [4 per cell]
Te  0.2167  0.1844  0.3303 [8 per cell]

[3]
First-principles (PBE) data for a relaxed LiPaBrF4 crystal, as listed in Alexandria.

Summary:
- E (hartree per atom) = -0.224

Cell lengths 10.7519, 7.2251, 7.1572 Å; angles 90.00, 108.42, 90.00 degrees
Space group C2/m (No. 12)
Inequivalent atoms, fractional coordinates:
Li  0.1337  0.0000  0.2787 [4 per cell]
Pa  0.2391  0.5000  0.1275 [4 per cell]
Br  0.0052  0.5000  0.7586 [4 per cell]
F  0.0513  0.0000  0.8077 [4 per cell]
F  0.2018  0.0000  0.5545 [4 per cell]
F  0.2109  0.1876  0.1436 [8 per cell]